## ScTa2TiC4 (PBE)

Data for a geometry-optimized ScTa2TiC4 structure.

## Properties
Total magnetization = 0.00 μB per formula unit
Final energy = -80.5 eV/f.u.
ΔH_f (0 K) = -16.49 kcal/mol of atoms

Cell: 5.479 3.170 5.487 Å, 90.00 109.32 90.00°
Fractional coordinates of all 8 atoms:
Sc  0.000  0.000  0.000
Ta  0.000  0.500  0.500
Ta  0.500  0.000  0.500
Ti  0.500  0.500  0.000
C  0.255  0.000  0.748
C  0.258  0.500  0.258
C  0.742  0.500  0.742
C  0.745  0.000  0.252

## Sc2TaTlC (PBE)

Data for a geometry-optimized Sc2TaTlC structure.

## Properties
Total magnetization = 0.00 μB per formula unit
Final energy = -37.9 eV/f.u.
ΔH_f (0 K) = -8.49 kcal/mol of atoms

Cell: 4.554 4.554 4.327 Å, 90.00 90.00 90.00°
Fractional coordinates of all 5 atoms:
Sc  0.000  0.500  0.000
Sc  0.500  0.000  0.000
Ta  0.000  0.000  0.500
Tl  0.500  0.500  0.500
C  0.000  0.000  0.000